{"formula": "NdDy2YTh", "functional": "PBE", "state": "relaxed", "lattice_angstrom": [[-0.471, 4.725, 4.365], [-6.255, -1.439, 0.882], [5.204, -4.626, 5.568]], "species": ["Nd", "Dy", "Dy", "Th", "Dy", "Dy", "Y", "Nd", "Th", "Y"], "frac_coords": [[0.750, 0.343, 0.686], [0.500, 0.754, 0.000], [0.000, 0.246, 0.000], [0.250, 0.845, 0.689], [0.500, 0.246, 0.000], [0.000, 0.754, 0.000], [0.750, 0.769, 0.538], [0.250, 0.657, 0.314], [0.750, 0.155, 0.311], [0.250, 0.231, 0.462]], "total_magnetization_mub_per_atom": 0.000, "total_energy_ev_per_fu": -25.92}